Computed, not measured: a relaxed structure of ScCrSe at the PBE level of DFT.

```
12
Lattice="6.8605 0.0000 0.0050 0.0000 3.3646 0.0000 -3.3615 0.0000 9.1125" Properties=species:S:1:pos:R:3 pbc="T T T"
Sc 4.8554 0.0000 0.9213
Sc -1.3564 0.0000 8.1961
Sc 3.1746 1.6823 5.4775
Sc 0.3244 1.6823 3.6399
Cr 0.8811 0.0000 5.9102
Cr 2.6179 0.0000 3.2072
Cr 2.5618 1.6823 1.3540
Cr 0.9372 1.6823 7.7634
Se 0.7727 0.0000 1.4956
Se 2.7263 0.0000 7.6219
Se -0.9081 1.6823 6.0518
Se 4.4071 1.6823 3.0656
```

Its spin magnetization is 0.000 μB per atom. The symmetry is C2/m, No. 12. As for the formation energy without anion corrections: -0.541 eV/atom. For the relative energy among the computed polymorphs, the calculation gives 103 meV/atom. For the density of states at the Fermi level, the calculation gives 0.775 states/eV/atom.

***

Computed, not measured: a relaxed structure of ScCrSe at the PBE level of DFT.

```
12
Lattice="-4.7220 -4.5674 -2.9829 0.9256 -2.5141 2.3844 -5.5836 2.5802 4.8882" Properties=species:S:1:pos:R:3 pbc="T T T"
Sc -1.6139 0.7458 1.4129
Sc -6.3039 -1.5049 3.5577
Sc -4.7101 1.1333 5.7208
Sc -4.7421 -1.1834 0.5931
Cr -3.2671 -2.8253 -1.7107
Cr -1.9235 -1.5256 -0.8619
Cr -3.2352 -0.5085 3.4170
Cr -6.6134 -3.7762 1.2830
Se -7.7597 -1.5993 1.3260
Se -5.2266 0.8509 2.9262
Se -2.1441 -1.8628 1.5656
Se -4.3329 -3.9800 0.1829
```

Its spin magnetization is 0.000 μB per atom. The symmetry is Imm2, No. 44. As for the formation energy without anion corrections: -0.500 eV/atom. For the relative energy among the computed polymorphs, the calculation gives 144 meV/atom. For the density of states at the Fermi level, the calculation gives 0.671 states/eV/atom.

***

Computed, not measured: a relaxed structure of ScCrSe2 at the PBE level of DFT.

```
4
Lattice="-6.1795 0.6142 -2.0432 -3.1244 -2.2381 -5.2883 3.9978 -1.3873 4.9830" Properties=species:S:1:pos:R:3 pbc="T T T"
Cr -4.6519 -0.8120 -3.6658
Sc -3.4168 -0.7926 -0.3630
Se 0.0000 0.0000 0.0000
Se -1.8893 -2.2187 -1.9856
```

Its spin magnetization is 1.158 μB per atom. The symmetry is I-4m2, No. 119. As for the formation energy without anion corrections: -0.649 eV/atom. For the relative energy among the computed polymorphs, the calculation gives 328 meV/atom. For the density of states at the Fermi level, the calculation gives 0.445 states/eV/atom.

***

Computed, not measured: a relaxed structure of ScCrSe at the PBE level of DFT.

```
12
Lattice="-1.4236 0.9762 3.3149 0.8758 -3.0683 1.2797 15.9618 6.6038 4.9096" Properties=species:S:1:pos:R:3 pbc="T T T"
Sc 9.6767 4.8805 5.0793
Sc 2.1337 0.0445 3.2643
Sc 7.4265 3.1662 2.5087
Sc 15.8453 4.9339 5.6033
Cr 13.4545 6.4426 6.2391
Cr 5.9115 1.6066 4.4242
Cr 12.9795 5.4638 4.2172
Cr 5.4365 0.6277 2.4023
Se 3.2866 1.4541 1.2371
Se 11.7054 3.2218 4.3317
Se -0.1954 0.7955 2.0411
Se 8.2234 2.5632 5.1357
```

Its spin magnetization is 0.153 μB per atom. The symmetry is Amm2, No. 38. As for the formation energy without anion corrections: -0.574 eV/atom. For the relative energy among the computed polymorphs, the calculation gives 70 meV/atom. For the density of states at the Fermi level, the calculation gives 0.549 states/eV/atom.

***

Computed, not measured: a relaxed structure of ScCrSe2 at the PBE level of DFT.

```
4
Lattice="-2.9929 -2.6695 -2.6526 1.7533 -3.3902 -2.9245 -0.6458 -4.6481 1.0483" Properties=species:S:1:pos:R:3 pbc="T T T"
Cr -0.9427 -5.3539 -2.2644
Sc -1.4140 -8.0308 -3.3966
Se 0.0000 0.0000 0.0000
Se -0.4713 -2.6769 -1.1322
```

Its spin magnetization is 1.203 μB per atom. The symmetry is F-43m, No. 216. As for the formation energy without anion corrections: -0.068 eV/atom. For the relative energy among the computed polymorphs, the calculation gives 909 meV/atom. For the density of states at the Fermi level, the calculation gives 0.296 states/eV/atom.

***

Computed, not measured: a relaxed structure of Sc2CrSe2 at the PBE level of DFT.

```
5
Lattice="5.0434 0.0000 0.0000 0.0000 5.0434 0.0000 0.0000 0.0000 4.3229" Properties=species:S:1:pos:R:3 pbc="T T T"
Sc 0.0000 2.5217 0.0000
Sc 2.5217 0.0000 0.0000
Cr 0.0000 0.0000 0.0000
Se 2.5217 2.5217 2.1615
Se 0.0000 0.0000 2.1615
```

Its spin magnetization is 0.101 μB per atom. The symmetry is P4/mmm, No. 123. As for the formation energy without anion corrections: -0.272 eV/atom. For the density of states at the Fermi level, the calculation gives 0.499 states/eV/atom.

***

Computed, not measured: a relaxed structure of Sc2CrSe at the PBE level of DFT.

```
8
Lattice="-0.8781 6.2265 -4.0938 -6.7258 -2.4369 -2.2638 -5.0827 3.2540 -0.8367" Properties=species:S:1:pos:R:3 pbc="T T T"
Sc -2.6795 4.5376 -3.1409
Sc -5.5647 -0.0684 -2.0456
Sc -6.5153 3.9153 -2.9618
Sc -10.6135 5.7028 -6.2403
Cr -3.8019 1.8948 -3.1788
Cr -7.8052 1.3560 -3.1397
Se 0.0000 0.0000 0.0000
Se -4.8813 5.6877 -4.0546
```

Its spin magnetization is 0.703 μB per atom. The symmetry is I-42d, No. 122. As for the formation energy without anion corrections: -0.111 eV/atom. For the density of states at the Fermi level, the calculation gives 0.699 states/eV/atom.

***

Computed, not measured: a relaxed structure of ScCr2Se at the PBE level of DFT.

```
4
Lattice="-4.1712 -1.5673 1.2399 -0.6946 -1.5818 4.2905 -2.5929 2.4228 2.9665" Properties=species:S:1:pos:R:3 pbc="T T T"
Cr 0.0000 0.0000 0.0000
Cr -5.5940 -0.5448 6.3727
Sc -3.7294 -0.3632 4.2484
Se -1.8647 -0.1816 2.1242
```

Its spin magnetization is 0.137 μB per atom. The symmetry is F-43m, No. 216. As for the formation energy without anion corrections: 0.162 eV/atom. For the density of states at the Fermi level, the calculation gives 1.473 states/eV/atom.

***

Computed, not measured: a relaxed structure of Sc2CrSe at the PBE level of DFT.

```
4
Lattice="-1.3808 -2.6973 0.9557 2.0256 -0.1717 2.4419 -4.7196 3.9003 4.1892" Properties=species:S:1:pos:R:3 pbc="T T T"
Cr -2.9932 1.3055 4.6418
Sc -4.4877 3.7086 3.9834
Sc -1.0566 -0.2949 2.9229
Se -2.6166 2.1624 2.3226
```

Its spin magnetization is 0.228 μB per atom. The symmetry is P4mm, No. 99. As for the formation energy without anion corrections: -0.183 eV/atom. For the density of states at the Fermi level, the calculation gives 1.299 states/eV/atom.

***

Computed, not measured: a relaxed structure of ScCrSe2 at the PBE level of DFT.

```
4
Lattice="0.0000 3.3600 3.3600 3.3600 0.0000 3.3600 3.3600 3.3600 0.0000" Properties=species:S:1:pos:R:3 pbc="T T T"
Sc 0.0000 0.0000 0.0000
Cr 3.3600 3.3600 3.3600
Se 1.6800 1.6800 1.6800
Se 5.0400 5.0400 5.0400
```

Its spin magnetization is 1.164 μB per atom. The symmetry is Fm-3m, No. 225. As for the formation energy without anion corrections: -0.655 eV/atom. For the relative energy among the computed polymorphs, the calculation gives 322 meV/atom. For the density of states at the Fermi level, the calculation gives 0.386 states/eV/atom.

***

Computed, not measured: a relaxed structure of ScCrSe2 at the PBE level of DFT.

```
4
Lattice="-2.0104 -5.7779 5.5440 1.8725 -5.3245 6.0253 -0.6309 -2.8112 7.7370" Properties=species:S:1:pos:R:3 pbc="T T T"
Sc -0.3844 -6.9568 9.6531
Cr 0.0000 0.0000 0.0000
Se -0.6887 -12.4650 17.2962
Se -0.0800 -1.4486 2.0101
```

Its spin magnetization is 1.250 μB per atom. The symmetry is R-3m, No. 166. As for the formation energy without anion corrections: -0.767 eV/atom. For the relative energy among the computed polymorphs, the calculation gives 210 meV/atom. For the density of states at the Fermi level, the calculation gives 0.003 states/eV/atom.

***

Computed, not measured: a relaxed structure of Sc2CrSe at the PBE level of DFT.

```
4
Lattice="5.9259 0.1616 -0.1587 3.3002 4.9245 0.1587 -4.3619 -2.9986 2.6738" Properties=species:S:1:pos:R:3 pbc="T T T"
Cr 1.9349 2.3222 1.4163
Sc 0.2030 0.1119 0.0000
Sc 3.1575 -0.1089 1.2575
Se 4.1819 2.3054 0.0000
```

Its spin magnetization is 0.694 μB per atom. The symmetry is Imm2, No. 44. As for the formation energy without anion corrections: -0.339 eV/atom. For the density of states at the Fermi level, the calculation gives 0.871 states/eV/atom.

***

Computed, not measured: a relaxed structure of ScCrSe at the PBE level of DFT.

```
3
Lattice="-1.3001 1.2451 4.9399 -1.0461 -2.1326 4.6905 2.8199 0.0726 1.8915" Properties=species:S:1:pos:R:3 pbc="T T T"
Cr -2.3229 -0.8831 9.5954
Sc -0.6414 -0.5707 7.0765
Se 1.0918 -0.2486 4.4803
```

Its spin magnetization is 0.995 μB per atom. The symmetry is I4mm, No. 107. As for the formation energy without anion corrections: -0.304 eV/atom. For the relative energy among the computed polymorphs, the calculation gives 340 meV/atom. For the density of states at the Fermi level, the calculation gives 0.787 states/eV/atom.

***

Computed, not measured: a relaxed structure of ScCr2Se at the PBE level of DFT.

```
4
Lattice="-1.9589 6.9479 4.1062 -3.9552 7.1329 1.5653 -4.7851 5.3711 4.1505" Properties=species:S:1:pos:R:3 pbc="T T T"
Cr -0.1270 0.2308 0.1166
Cr -5.2226 9.4951 4.7944
Sc -2.6748 4.8630 2.4555
Se -8.0244 14.5889 7.3665
```

Its spin magnetization is 1.368 μB per atom. The symmetry is R-3m, No. 166. As for the formation energy without anion corrections: 0.273 eV/atom. For the density of states at the Fermi level, the calculation gives 1.020 states/eV/atom.